a) Material: Sr2Tl2Sn
Method: DFT, PBE
State: optimized geometry

As for the symmetry: P4/mbm, No. 127. For the density of states at the Fermi level, the calculation gives 3.42 states/eV/f.u. Its total magnetic moment is 0.0 Bohr magnetons per cell.

Lattice parameters (Å, degrees): 9.1921 9.1921 4.2403 90.00 90.00 90.00
Closest atoms and distances in Å follow each position.
Sites, in units of the cell vectors:
1 Sr 0.3363 0.8363 0.0000  6 Tl 3.34-3.50, 2 Sn 3.44
2 Sr 0.8363 0.6637 0.0000  6 Tl 3.34-3.50, 2 Sn 3.44
3 Sr 0.6637 0.1637 0.0000  6 Tl 3.34-3.50, 2 Sn 3.44
4 Sr 0.1637 0.3363 0.0000  6 Tl 3.34-3.50, 2 Sn 3.44
5 Tl 0.1376 0.6376 0.5000  6 Sr 3.34-3.50, 1 Tl 3.58
6 Tl 0.6376 0.8624 0.5000  6 Sr 3.34-3.50, 1 Tl 3.58
7 Tl 0.8624 0.3624 0.5000  6 Sr 3.34-3.50, 1 Tl 3.58
8 Tl 0.3624 0.1376 0.5000  6 Sr 3.34-3.50, 1 Tl 3.58
9 Sn 0.0000 0.0000 0.0000  4 Sr 3.44
10 Sn 0.5000 0.5000 0.0000  4 Sr 3.44

b) Material: Sr2Tl2Sn
Method: DFT, PBE
State: optimized geometry

As for the symmetry: P4/mbm, No. 127. For the density of states at the Fermi level, the calculation gives 3.84 states/eV/f.u. Its total magnetic moment is 0.0 Bohr magnetons per cell.

Lattice parameters (Å, degrees): 8.2219 8.2219 5.0291 90.00 90.00 90.00
Closest atoms and distances in Å follow each position.
Sites, in units of the cell vectors:
1 Sr 0.1752 0.6752 0.5000  6 Tl 3.37-3.58
2 Sr 0.6752 0.8248 0.5000  6 Tl 3.37-3.58
3 Sr 0.8248 0.3248 0.5000  6 Tl 3.37-3.58
4 Sr 0.3248 0.1752 0.5000  6 Tl 3.37-3.58
5 Tl 0.3685 0.8685 0.0000  1 Tl 3.06, 2 Sn 3.22, 2 Sr 3.37
6 Tl 0.8685 0.6315 0.0000  1 Tl 3.06, 2 Sn 3.22, 2 Sr 3.37
7 Tl 0.6315 0.1315 0.0000  1 Tl 3.06, 2 Sn 3.22, 2 Sr 3.37
8 Tl 0.1315 0.3685 0.0000  1 Tl 3.06, 2 Sn 3.22, 2 Sr 3.37
9 Sn 0.0000 0.0000 0.0000  4 Tl 3.22
10 Sn 0.5000 0.5000 0.0000  4 Tl 3.22

c) Material: Sr2Tl2Sn
Method: DFT, PBE
State: optimized geometry

As for the symmetry: C2/m, No. 12. For the density of states at the Fermi level, the calculation gives 3.17 states/eV/f.u. Its total magnetic moment is 0.0 Bohr magnetons per cell.

Lattice parameters (Å, degrees): 4.8986 6.7025 11.4975 88.10 77.70 68.57
Closest atoms and distances in Å follow each position.
Sites, in units of the cell vectors:
1 Sr 0.6842 0.3072 0.3244  5 Tl 3.46-3.82, 3 Sn 3.52-3.66
2 Sr 0.9210 0.2657 0.8923  2 Sn 3.44, 5 Tl 3.45-3.71
3 Sr 0.3158 0.6928 0.6756  5 Tl 3.46-3.82, 3 Sn 3.52-3.66
4 Sr 0.0790 0.7343 0.1077  2 Sn 3.44, 5 Tl 3.45-3.71
5 Tl 0.1124 0.2389 0.5363  3 Sn 3.08-3.33, 1 Tl 3.40
6 Tl 0.6435 0.8193 0.8938  1 Sn 3.09, 1 Tl 3.20, 1 Sr 3.45
7 Tl 0.8876 0.7611 0.4637  3 Sn 3.08-3.33, 1 Tl 3.40
8 Tl 0.3565 0.1807 0.1062  1 Sn 3.09, 1 Tl 3.20, 1 Sr 3.45
9 Sn 0.5911 0.1300 0.6879  4 Tl 3.08-3.33, 2 Sr 3.44
10 Sn 0.4089 0.8700 0.3121  4 Tl 3.08-3.33, 2 Sr 3.44

Computed stability ranking, most favorable first: c), b), a)

a) Material: Sr2Tl4Sn
Method: DFT, PBE
State: optimized geometry

As for the symmetry: I4/mmm, No. 139. For the density of states at the Fermi level, the calculation gives 4.88 states/eV/f.u. Its total magnetic moment is 0.0 Bohr magnetons per cell.

Lattice parameters (Å, degrees): 5.7605 5.7605 9.4232 107.80 107.80 90.00
Closest atoms and distances in Å follow each position.
Sites, in units of the cell vectors:
1 Sr 0.6273 0.6273 0.2547  5 Tl 3.34-3.60
2 Sr 0.3727 0.3727 0.7453  5 Tl 3.34-3.60
3 Tl 0.8241 0.8241 0.6481  1 Sn 2.99, 1 Sr 3.34
4 Tl 0.1759 0.1759 0.3519  1 Sn 2.99, 1 Sr 3.34
5 Tl 0.0000 0.5000 0.0000  2 Sn 2.88
6 Tl 0.5000 0.0000 0.0000  2 Sn 2.88
7 Sn 0.0000 0.0000 0.0000  6 Tl 2.88-2.99

b) Material: Sr2Tl4Sn
Method: DFT, PBE
State: optimized geometry

As for the symmetry: P2_1/m, No. 11. For the density of states at the Fermi level, the calculation gives 3.85 states/eV/f.u. Its total magnetic moment is 0.0 Bohr magnetons per cell.

Lattice parameters (Å, degrees): 6.7695 7.2790 9.7415 104.45 90.00 90.00
Closest atoms and distances in Å follow each position.
Sites, in units of the cell vectors:
1 Sr 0.7500 0.7599 0.9823  1 Sn 3.37, 7 Tl 3.41-3.60
2 Sr 0.2500 0.2401 0.0177  1 Sn 3.37, 7 Tl 3.41-3.60
3 Sr 0.2500 0.8867 0.6027  3 Sn 3.57-3.68, 8 Tl 3.58-3.89
4 Sr 0.7500 0.1133 0.3973  3 Sn 3.57-3.68, 8 Tl 3.58-3.89
5 Tl 0.4970 0.3768 0.7409  1 Sn 3.12, 5 Tl 3.30-3.43
6 Tl 0.7500 0.2607 0.0618  1 Sn 3.20, 2 Tl 3.30, 3 Sr 3.41-3.53
7 Tl 0.2500 0.7393 0.9382  1 Sn 3.20, 2 Tl 3.30, 3 Sr 3.41-3.53
8 Tl 0.0030 0.3768 0.7409  1 Sn 3.12, 5 Tl 3.30-3.43
9 Tl 0.2500 0.3860 0.4487  1 Sn 3.05, 4 Tl 3.30-3.32
10 Tl 0.9970 0.6232 0.2591  1 Sn 3.12, 5 Tl 3.30-3.43
11 Tl 0.5030 0.6232 0.2591  1 Sn 3.12, 5 Tl 3.30-3.43
12 Tl 0.7500 0.6140 0.5513  1 Sn 3.05, 4 Tl 3.30-3.32
13 Sn 0.7500 0.0176 0.7395  4 Tl 3.05-3.20, 1 Sr 3.37
14 Sn 0.2500 0.9824 0.2605  4 Tl 3.05-3.20, 1 Sr 3.37

Computed stability ranking, most favorable first: b), a)

a) Material: SrVSn3
Method: DFT, PBE
State: optimized geometry

As for the symmetry: Pm-3m, No. 221. For the density of states at the Fermi level, the calculation gives 9.35 states/eV/f.u. Its total magnetic moment is 3.2 Bohr magnetons per cell.

Lattice parameters (Å, degrees): 5.8633 5.8633 5.8633 90.00 90.00 90.00
Closest atoms and distances in Å follow each position.
Sites, in units of the cell vectors:
1 Sr 0.0000 0.0000 0.0000  6 Sn 2.93
2 Sn 0.0000 0.5000 0.0000  2 Sr 2.93
3 Sn 0.0000 0.0000 0.5000  2 Sr 2.93
4 Sn 0.5000 0.0000 0.0000  2 Sr 2.93
5 V 0.5000 0.5000 0.5000  12 Sn 4.15

b) Material: SrVSn3
Method: DFT, PBE
State: optimized geometry

As for the symmetry: Pm-3m, No. 221. For the density of states at the Fermi level, the calculation gives 1.76 states/eV/f.u. Its total magnetic moment is 0.0 Bohr magnetons per cell.

Lattice parameters (Å, degrees): 5.1977 5.1977 5.1977 90.00 90.00 90.00
Closest atoms and distances in Å follow each position.
Sites, in units of the cell vectors:
1 Sr 0.5000 0.5000 0.5000  12 Sn 3.68
2 Sn 0.0000 0.5000 0.0000  2 V 2.60
3 Sn 0.0000 0.0000 0.5000  2 V 2.60
4 Sn 0.5000 0.0000 0.0000  2 V 2.60
5 V 0.0000 0.0000 0.0000  6 Sn 2.60

Computed stability ranking, most favorable first: b), a)

a) Material: SrV3Sn
Method: DFT, PBE
State: optimized geometry

As for the symmetry: Pm-3m, No. 221. For the density of states at the Fermi level, the calculation gives 8.42 states/eV/f.u. Its total magnetic moment is 0.0 Bohr magnetons per cell.

Lattice parameters (Å, degrees): 4.6526 4.6526 4.6526 90.00 90.00 90.00
Closest atoms and distances in Å follow each position.
Sites, in units of the cell vectors:
1 Sr 0.0000 0.0000 0.0000  6 V 2.33
2 Sn 0.5000 0.5000 0.5000  12 V 3.29
3 V 0.0000 0.5000 0.0000  2 Sr 2.33
4 V 0.0000 0.0000 0.5000  2 Sr 2.33
5 V 0.5000 0.0000 0.0000  2 Sr 2.33

b) Material: SrV3Sn
Method: DFT, PBE
State: optimized geometry

As for the symmetry: Pm-3m, No. 221. For the density of states at the Fermi level, the calculation gives 3.12 states/eV/f.u. Its total magnetic moment is 10.9 Bohr magnetons per cell.

Lattice parameters (Å, degrees): 5.2401 5.2401 5.2401 90.00 90.00 90.00
Closest atoms and distances in Å follow each position.
Sites, in units of the cell vectors:
1 Sr 0.5000 0.5000 0.5000  12 V 3.71
2 Sn 0.0000 0.0000 0.0000  6 V 2.62
3 V 0.0000 0.5000 0.0000  2 Sn 2.62
4 V 0.0000 0.0000 0.5000  2 Sn 2.62
5 V 0.5000 0.0000 0.0000  2 Sn 2.62

Computed stability ranking, most favorable first: b), a)

a) Material: SrV2Sn2
Method: DFT, PBE
State: optimized geometry

As for the symmetry: I4/mmm, No. 139. For the density of states at the Fermi level, the calculation gives 6.15 states/eV/f.u. Its total magnetic moment is 0.6 Bohr magnetons per cell.

Lattice parameters (Å, degrees): 4.2459 4.2459 7.1124 72.63 72.63 90.00
Closest atoms and distances in Å follow each position.
Sites, in units of the cell vectors:
1 Sr 0.0000 0.0000 0.0000  8 Sn 3.37
2 Sn 0.3811 0.3811 0.2377  4 V 2.71
3 Sn 0.6189 0.6189 0.7623  4 V 2.71
4 V 0.7500 0.2500 0.5000  4 Sn 2.71, 4 V 3.00
5 V 0.2500 0.7500 0.5000  4 Sn 2.71, 4 V 3.00

b) Material: SrV2Sn2
Method: DFT, PBE
State: optimized geometry

As for the symmetry: I4/mmm, No. 139. For the density of states at the Fermi level, the calculation gives 4.49 states/eV/f.u. Its total magnetic moment is 0.0 Bohr magnetons per cell.

Lattice parameters (Å, degrees): 4.7839 4.7839 6.1460 67.10 67.10 90.00
Closest atoms and distances in Å follow each position.
Sites, in units of the cell vectors:
1 Sr 0.0000 0.0000 0.0000  8 Sn 3.51, 8 V 3.51
2 Sn 0.7500 0.2500 0.5000  4 V 2.90
3 Sn 0.2500 0.7500 0.5000  4 V 2.90
4 V 0.4095 0.4095 0.1810  1 V 1.86
5 V 0.5905 0.5905 0.8190  1 V 1.86

c) Material: SrV2Sn2
Method: DFT, PBE
State: optimized geometry

As for the symmetry: P4/mbm, No. 127. For the density of states at the Fermi level, the calculation gives 3.92 states/eV/f.u. Its total magnetic moment is 0.0 Bohr magnetons per cell.

Lattice parameters (Å, degrees): 8.3662 8.3662 3.0381 90.00 90.00 90.00
Closest atoms and distances in Å follow each position.
Sites, in units of the cell vectors:
1 Sr 0.0000 0.0000 0.0000  2 Sr 3.04
2 Sr 0.5000 0.5000 0.0000  2 Sr 3.04
3 Sn 0.1826 0.6826 0.5000  6 V 2.89-2.99, 2 Sn 3.04
4 Sn 0.6826 0.8174 0.5000  6 V 2.89-2.99, 2 Sn 3.04
5 Sn 0.8174 0.3174 0.5000  6 V 2.89-2.99, 2 Sn 3.04
6 Sn 0.3174 0.1826 0.5000  6 V 2.89-2.99, 2 Sn 3.04
7 V 0.4001 0.9001 0.0000  1 V 2.36
8 V 0.9001 0.5999 0.0000  1 V 2.36
9 V 0.5999 0.0999 0.0000  1 V 2.36
10 V 0.0999 0.4001 0.0000  1 V 2.36

Computed stability ranking, most favorable first: a), c), b)